No. 1
A plane-wave DFT calculation with PBE-GGA was carried out for an optimized crystal structure of Sr2LiTe.

The structure in extended XYZ format:
```
4
Lattice="4.220 0.000 0.000 0.000 4.200 0.000 -0.011 0.000 7.834" Properties=species:S:1:pos:R:3 pbc="T T T"
Sr 0.000 0.000 2.017
Sr 4.209 0.000 5.817
Li 2.110 2.100 0.000
Te 2.104 2.100 3.917
```

Values from the calculation:
- total magnetization (μB per cell) = 0.0
- SG = P2/m, No. 10
- crystal system = monoclinic
- VASP energy (eV per atom) = -2.851
- uncorrected formation energy (eV/atom) = -0.7467

No. 2
A plane-wave DFT calculation with PBE-GGA was carried out for an optimized crystal structure of SrZn2Pt.

The structure in extended XYZ format:
```
8
Lattice="3.927 0.000 0.000 0.000 5.183 0.000 0.000 0.000 8.517" Properties=species:S:1:pos:R:3 pbc="T T T"
Sr 0.000 0.000 0.000
Sr 1.963 2.591 4.258
Zn 0.000 2.591 1.729
Zn 0.000 2.591 6.788
Zn 1.963 0.000 2.529
Zn 1.963 0.000 5.987
Pt 0.000 0.000 4.258
Pt 1.963 2.591 0.000
```

Values from the calculation:
- formation energy from the elements (eV/atom) = -0.343
- total magnetization (μB per cell) = 0.0
- SG = Immm, No. 71
- crystal system = orthorhombic
- VASP energy (eV per atom) = -2.911

No. 3
A plane-wave DFT calculation with PBE-GGA was carried out for an optimized crystal structure of Tb3Nd2Co2.

The structure in extended XYZ format:
```
14
Lattice="12.239 0.000 0.000 0.000 3.674 0.000 -4.012 0.000 8.119" Properties=species:S:1:pos:R:3 pbc="T T T"
Tb 0.000 0.000 0.000
Tb -0.246 0.000 3.440
Tb 2.354 1.837 4.679
Tb 6.119 1.837 0.000
Tb 5.873 1.837 3.440
Tb 8.473 0.000 4.679
Nd -1.125 1.837 6.513
Nd 3.233 0.000 1.606
Nd 4.994 0.000 6.513
Nd 9.353 1.837 1.606
Co 1.184 1.837 1.979
Co 0.924 0.000 6.140
Co 7.303 0.000 1.979
Co 7.043 1.837 6.140
```

Values from the calculation:
- formation energy from the elements (eV/atom) = -0.118
- total magnetization (μB per cell) = 0.0
- SG = C2/m, No. 12
- crystal system = monoclinic
- VASP energy (eV per atom) = -5.494

No. 4
A plane-wave DFT calculation with PBE-GGA was carried out for an optimized crystal structure of KBN2F.

The structure in extended XYZ format:
```
5
Lattice="5.362 0.000 0.000 0.000 5.362 0.000 0.000 0.000 4.761" Properties=species:S:1:pos:R:3 pbc="T T T"
K 0.000 0.000 0.000
B 2.681 2.681 2.381
N 0.000 2.681 0.000
N 2.681 0.000 0.000
F 0.000 0.000 2.381
```

Values from the calculation:
- total magnetization (μB per cell) = 5.0
- SG = P4/mmm, No. 123
- crystal system = tetragonal
- VASP energy (eV per atom) = -2.989
- uncorrected formation energy (eV/atom) = 2.2704

No. 5
A plane-wave DFT calculation with PBE-GGA was carried out for an optimized crystal structure of Hf2Mg2Zr.

The structure in extended XYZ format:
```
10
Lattice="8.240 0.000 0.000 0.000 8.240 0.000 0.000 0.000 3.258" Properties=species:S:1:pos:R:3 pbc="T T T"
Hf 1.450 2.670 0.000
Hf 2.670 6.790 0.000
Hf 5.570 1.450 0.000
Hf 6.790 5.570 0.000
Mg 1.011 5.131 1.629
Mg 3.109 1.011 1.629
Mg 5.131 7.229 1.629
Mg 7.229 3.109 1.629
Zr 0.000 0.000 1.629
Zr 4.120 4.120 1.629
```

Values from the calculation:
- formation energy from the elements (eV/atom) = 0.316
- total magnetization (μB per cell) = 0.0
- SG = P4/mbm, No. 127
- crystal system = tetragonal
- VASP energy (eV per atom) = -6.013

No. 6
A plane-wave DFT calculation with PBE-GGA was carried out for an optimized crystal structure of Ac3BiSe2.

The structure in extended XYZ format:
```
12
Lattice="6.102 -6.196 0.000 6.102 6.196 0.000 0.000 0.000 7.432" Properties=species:S:1:pos:R:3 pbc="T T T"
Ac 6.102 4.923 5.574
Ac 4.193 1.077 5.574
Ac 4.193 -1.077 1.858
Ac 8.011 1.077 5.574
Ac 8.011 -1.077 1.858
Ac 6.102 -4.923 1.858
Bi 6.102 1.686 1.858
Bi 6.102 -1.686 5.574
Se 2.044 0.000 0.000
Se 2.044 0.000 3.716
Se 10.160 0.000 0.000
Se 10.160 0.000 3.716
```

Values from the calculation:
- total magnetization (μB per cell) = 0.0
- SG = Cmcm, No. 63
- crystal system = orthorhombic
- VASP energy (eV per atom) = -4.861
- uncorrected formation energy (eV/atom) = -0.9989

No. 7
A plane-wave DFT calculation with PBE-GGA was carried out for an optimized crystal structure of VNi2S6.

The structure in extended XYZ format:
```
18
Lattice="5.370 0.000 0.000 0.000 5.370 0.000 0.000 0.000 10.398" Properties=species:S:1:pos:R:3 pbc="T T T"
V 0.000 0.000 0.000
V 2.685 2.685 5.199
Ni 0.000 0.000 3.450
Ni 0.000 0.000 6.948
Ni 2.685 2.685 1.749
Ni 2.685 2.685 8.650
S 1.011 1.011 5.199
S 1.062 1.062 1.722
S 1.062 1.062 8.676
S 1.623 3.747 3.477
S 1.623 3.747 6.921
S 1.674 3.696 0.000
S 3.696 1.674 0.000
S 3.747 1.623 3.477
S 3.747 1.623 6.921
S 4.308 4.308 1.722
S 4.308 4.308 8.676
S 4.359 4.359 5.199
```

Values from the calculation:
- total magnetization (μB per cell) = 0.0
- SG = P4_2/mnm, No. 136
- crystal system = tetragonal
- VASP energy (eV per atom) = -5.287
- uncorrected formation energy (eV/atom) = -0.2375

No. 8
A plane-wave DFT calculation with PBE-GGA was carried out for an optimized crystal structure of Ce2SbN2.

The structure in extended XYZ format:
```
10
Lattice="3.953 0.000 0.000 0.000 3.953 0.000 0.000 0.000 13.563" Properties=species:S:1:pos:R:3 pbc="T T T"
Ce 0.000 0.000 2.269
Ce 0.000 0.000 11.295
Ce 1.976 1.976 4.513
Ce 1.976 1.976 9.051
Sb 0.000 0.000 6.782
Sb 1.976 1.976 0.000
N 0.000 1.976 3.391
N 0.000 1.976 10.173
N 1.976 0.000 3.391
N 1.976 0.000 10.173
```

Values from the calculation:
- total magnetization (μB per cell) = 0.0
- SG = I4/mmm, No. 139
- crystal system = tetragonal
- VASP energy (eV per atom) = -7.840
- uncorrected formation energy (eV/atom) = -1.3116

No. 9
A plane-wave DFT calculation with PBE-GGA was carried out for an optimized crystal structure of SrNiTe.

The structure in extended XYZ format:
```
12
Lattice="5.217 0.000 0.000 0.000 8.929 0.000 0.000 0.000 7.003" Properties=species:S:1:pos:R:3 pbc="T T T"
Sr 0.000 0.000 0.000
Sr 0.000 4.465 0.000
Sr 2.609 0.000 3.501
Sr 2.609 4.465 3.501
Ni 1.304 2.232 1.751
Ni 1.304 6.697 5.252
Ni 3.913 2.232 1.751
Ni 3.913 6.697 5.252
Te 0.000 2.232 3.844
Te 0.000 6.697 3.159
Te 2.609 2.232 6.660
Te 2.609 6.697 0.343
```

Values from the calculation:
- total magnetization (μB per cell) = 0.0
- SG = Imma, No. 74
- crystal system = orthorhombic
- VASP energy (eV per atom) = -4.319
- uncorrected formation energy (eV/atom) = -0.7844

No. 10
A plane-wave DFT calculation with PBE-GGA was carried out for an optimized crystal structure of Ti2Nb3Bi.

The structure in extended XYZ format:
```
12
Lattice="4.784 0.000 0.000 2.388 7.187 0.000 2.385 2.658 6.696" Properties=species:S:1:pos:R:3 pbc="T T T"
Ti 1.195 1.736 1.823
Ti 3.584 6.224 0.369
Ti 5.973 3.622 6.328
Ti 8.362 8.110 4.874
Nb 3.581 5.128 5.895
Nb 3.583 5.680 3.143
Nb 3.586 3.277 1.354
Nb 5.971 6.568 5.342
Nb 5.975 4.166 3.553
Nb 5.977 4.717 0.801
Bi 3.582 2.647 4.349
Bi 5.975 7.199 2.348
```

Values from the calculation:
- formation energy from the elements (eV/atom) = 0.045
- total magnetization (μB per cell) = 0.0
- SG = P-1, No. 2
- crystal system = triclinic
- VASP energy (eV per atom) = -8.268

No. 11
A plane-wave DFT calculation with PBE-GGA was carried out for an optimized crystal structure of Ta2Co2Sb.

The structure in extended XYZ format:
```
10
Lattice="6.748 0.000 0.000 0.000 6.748 0.000 0.000 0.000 3.407" Properties=species:S:1:pos:R:3 pbc="T T T"
Ta 1.119 2.255 0.000
Ta 2.255 5.629 0.000
Ta 4.493 1.119 0.000
Ta 5.629 4.493 0.000
Co 0.858 4.232 1.703
Co 2.516 0.858 1.703
Co 4.232 5.889 1.703
Co 5.889 2.516 1.703
Sb 0.000 0.000 1.703
Sb 3.374 3.374 1.703
```

Values from the calculation:
- total magnetization (μB per cell) = 0.0
- SG = P4/mbm, No. 127
- crystal system = tetragonal
- VASP energy (eV per atom) = -8.488
- uncorrected formation energy (eV/atom) = -0.0797

No. 12
A plane-wave DFT calculation with PBE-GGA was carried out for an optimized crystal structure of CoSi2Ru.

The structure in extended XYZ format:
```
8
Lattice="7.603 0.000 0.000 0.000 2.799 0.000 -0.974 0.000 4.615" Properties=species:S:1:pos:R:3 pbc="T T T"
Co 0.000 0.000 0.000
Co 3.801 1.399 0.000
Si 1.647 1.399 1.080
Si 1.180 0.000 3.534
Si 5.449 0.000 1.080
Si 4.981 1.399 3.534
Ru -0.487 1.399 2.307
Ru 3.314 0.000 2.307
```

Values from the calculation:
- total magnetization (μB per cell) = 0.2
- SG = C2/m, No. 12
- crystal system = monoclinic
- VASP energy (eV per atom) = -7.178
- uncorrected formation energy (eV/atom) = -0.3707

No. 13
A plane-wave DFT calculation with PBE-GGA was carried out for an optimized crystal structure of LiIrRu4.

The structure in extended XYZ format:
```
6
Lattice="0.000 3.563 3.563 3.563 0.000 3.563 3.563 3.563 0.000" Properties=species:S:1:pos:R:3 pbc="T T T"
Li 0.000 0.000 0.000
Ir 1.782 1.782 1.782
Ru 4.456 2.671 2.671
Ru 2.671 4.456 2.671
Ru 2.671 2.671 4.456
Ru 4.456 4.456 4.456
```

Values from the calculation:
- formation energy from the elements (eV/atom) = 0.549
- total magnetization (μB per cell) = 0.0
- SG = F-43m, No. 216
- crystal system = cubic
- VASP energy (eV per atom) = -7.431

No. 14
A plane-wave DFT calculation with PBE-GGA was carried out for an optimized crystal structure of Li2RhBr.

The structure in extended XYZ format:
```
4
Lattice="3.356 0.000 0.000 0.000 3.356 0.000 0.000 0.000 5.732" Properties=species:S:1:pos:R:3 pbc="T T T"
Li 0.000 0.000 0.000
Li 1.678 1.678 1.638
Rh 0.000 0.000 2.733
Br 1.678 1.678 4.639
```

Values from the calculation:
- total magnetization (μB per cell) = 0.4
- SG = P4mm, No. 99
- crystal system = tetragonal
- VASP energy (eV per atom) = -3.406
- uncorrected formation energy (eV/atom) = -0.1928

No. 15
A plane-wave DFT calculation with PBE-GGA was carried out for an optimized crystal structure of BeNb2P.

The structure in extended XYZ format:
```
16
Lattice="5.245 0.000 0.000 0.000 5.245 0.000 0.000 0.000 11.519" Properties=species:S:1:pos:R:3 pbc="T T T"
Be 0.000 0.000 0.000
Be 0.000 2.622 2.880
Be 2.622 0.000 8.639
Be 2.622 2.622 5.759
Nb 1.133 1.311 1.440
Nb 1.311 3.756 4.320
Nb 1.311 4.111 10.079
Nb 1.489 1.311 7.199
Nb 3.756 3.934 7.199
Nb 3.934 1.133 10.079
Nb 3.934 1.489 4.320
Nb 4.111 3.934 1.440
P 0.000 0.000 5.759
P 0.000 2.622 8.639
P 2.622 0.000 2.880
P 2.622 2.622 0.000
```

Values from the calculation:
- formation energy from the elements (eV/atom) = 0.734
- total magnetization (μB per cell) = 0.0
- SG = I-42d, No. 122
- crystal system = tetragonal
- VASP energy (eV per atom) = -6.585

No. 16
A plane-wave DFT calculation with PBE-GGA was carried out for an optimized crystal structure of PuTiSe.

The structure in extended XYZ format:
```
3
Lattice="4.452 0.000 0.000 -2.226 3.855 0.000 0.000 0.000 3.605" Properties=species:S:1:pos:R:3 pbc="T T T"
Pu 0.000 0.000 0.000
Ti 2.226 1.285 1.803
Se 0.000 2.570 1.803
```

Values from the calculation:
- total magnetization (μB per cell) = 5.5
- SG = P-6m2, No. 187
- crystal system = hexagonal
- VASP energy (eV per atom) = -9.069
- uncorrected formation energy (eV/atom) = -0.4981

No. 17
A plane-wave DFT calculation with PBE-GGA was carried out for an optimized crystal structure of LiPuInCu.

The structure in extended XYZ format:
```
16
Lattice="6.782 0.000 0.000 0.000 6.782 0.000 0.000 0.000 6.782" Properties=species:S:1:pos:R:3 pbc="T T T"
Li 0.000 0.000 0.000
Li 0.000 3.391 3.391
Li 3.391 0.000 3.391
Li 3.391 3.391 0.000
Pu 1.695 1.695 1.695
Pu 1.695 5.086 5.086
Pu 5.086 1.695 5.086
Pu 5.086 5.086 1.695
In 1.695 1.695 5.086
In 1.695 5.086 1.695
In 5.086 1.695 1.695
In 5.086 5.086 5.086
Cu 0.000 0.000 3.391
Cu 0.000 3.391 0.000
Cu 3.391 0.000 0.000
Cu 3.391 3.391 3.391
```

Values from the calculation:
- formation energy from the elements (eV/atom) = -0.043
- total magnetization (μB per cell) = 21.1
- SG = F-43m, No. 216
- crystal system = cubic
- VASP energy (eV per atom) = -5.813

No. 18
A plane-wave DFT calculation with PBE-GGA was carried out for an optimized crystal structure of SrMgTa2.

The structure in extended XYZ format:
```
4
Lattice="2.974 0.000 0.000 0.000 2.974 0.000 0.000 0.000 10.371" Properties=species:S:1:pos:R:3 pbc="T T T"
Sr 0.000 0.000 0.000
Mg 1.487 1.487 7.384
Ta 0.000 0.000 5.062
Ta 1.487 1.487 2.914
```

Values from the calculation:
- formation energy from the elements (eV/atom) = 0.559
- total magnetization (μB per cell) = 0.0
- SG = P4mm, No. 99
- crystal system = tetragonal
- VASP energy (eV per atom) = -6.187

No. 19
A plane-wave DFT calculation with PBE-GGA was carried out for an optimized crystal structure of Na3GePb.

The structure in extended XYZ format:
```
5
Lattice="5.770 0.000 0.000 0.000 5.770 0.000 0.000 0.000 5.770" Properties=species:S:1:pos:R:3 pbc="T T T"
Na 0.000 0.000 2.885
Na 0.000 2.885 0.000
Na 2.885 0.000 0.000
Ge 2.885 2.885 2.885
Pb 0.000 0.000 0.000
```

Values from the calculation:
- formation energy from the elements (eV/atom) = 0.537
- total magnetization (μB per cell) = 0.0
- SG = Pm-3m, No. 221
- crystal system = cubic
- VASP energy (eV per atom) = -1.919

No. 20
A plane-wave DFT calculation with PBE-GGA was carried out for an optimized crystal structure of Sc2TlPt.

The structure in extended XYZ format:
```
16
Lattice="7.597 0.000 0.000 0.000 7.597 0.000 0.000 0.000 6.474" Properties=species:S:1:pos:R:3 pbc="T T T"
Sc 1.565 1.899 0.809
Sc 1.899 5.364 2.428
Sc 1.899 6.032 5.665
Sc 2.233 1.899 4.046
Sc 5.364 5.698 4.046
Sc 5.698 1.565 5.665
Sc 5.698 2.233 2.428
Sc 6.032 5.698 0.809
Tl 0.000 0.000 3.237
Tl 0.000 3.799 4.855
Tl 3.799 0.000 1.618
Tl 3.799 3.799 0.000
Pt 0.000 0.000 0.000
Pt 0.000 3.799 1.618
Pt 3.799 0.000 4.855
Pt 3.799 3.799 3.237
```

Values from the calculation:
- formation energy from the elements (eV/atom) = -0.400
- total magnetization (μB per cell) = 0.0
- SG = I-42d, No. 122
- crystal system = tetragonal
- VASP energy (eV per atom) = -5.667